[1]
Compound: Pr2Bi2O7
Source: Alexandria via LeMat-Bulk
Functional: GGA-PBE
Structure: relaxed

Geometry as POSCAR:
```
Pr2Bi2O7
1.0
3.793 -4.109 0.000
3.793 4.109 0.000
0.000 0.000 5.584
Pr Bi O
2 2 7
direct
0.240 0.240 0.000
0.760 0.760 0.000
0.231 0.769 0.500
0.769 0.231 0.500
0.000 0.000 0.255
0.000 0.000 0.745
0.000 0.500 0.248
0.000 0.500 0.752
0.500 0.000 0.248
0.500 0.000 0.752
0.500 0.500 0.500
```

Results
space group: Cmmm
formation energy (no corrections): -1.933 eV/atom
total DFT energy (no corrections): -73.29 eV for the cell shown
total magnetic moment: 0.00 μB/f.u.


[2]
Compound: Pr2PuBiO8
Source: Alexandria via LeMat-Bulk
Functional: GGA-PBE
Structure: relaxed

Geometry as POSCAR:
```
Pr2PuBiO8
1.0
5.280 0.000 0.000
0.000 7.235 0.000
-0.122 0.000 5.284
Pr Pu Bi O
2 1 1 8
direct
0.000 0.246 0.000
0.000 0.754 0.000
0.500 0.500 0.500
0.500 0.000 0.500
0.193 0.000 0.194
0.229 0.500 0.232
0.321 0.286 0.681
0.321 0.714 0.681
0.679 0.286 0.319
0.679 0.714 0.319
0.771 0.500 0.768
0.807 0.000 0.806
```

Results
space group: P2/m
formation energy (no corrections): -2.502 eV/atom
total DFT energy (no corrections): -97.46 eV for the cell shown
total magnetic moment: 1.07 μB/f.u.


[3]
Compound: PrPuBiO6
Source: Alexandria via LeMat-Bulk
Functional: GGA-PBE
Structure: relaxed

Geometry as POSCAR:
```
PrPuBiO6
1.0
5.972 0.000 0.000
-2.986 5.172 0.000
0.000 0.000 9.355
Pr Pu Bi O
2 2 2 12
direct
0.333 0.667 0.250
0.667 0.333 0.750
0.333 0.667 0.750
0.667 0.333 0.250
0.000 0.000 0.000
0.000 0.000 0.500
0.041 0.368 0.632
0.041 0.673 0.868
0.327 0.368 0.868
0.327 0.959 0.632
0.368 0.041 0.132
0.368 0.327 0.368
0.632 0.673 0.632
0.632 0.959 0.868
0.673 0.041 0.368
0.673 0.632 0.132
0.959 0.327 0.132
0.959 0.632 0.368
```

Results
space group: P-31c
formation energy (no corrections): -2.333 eV/atom
total DFT energy (no corrections): -147.48 eV for the cell shown
total magnetic moment: 2.00 μB/f.u.


[4]
Compound: PrPuBiO2
Source: Alexandria via LeMat-Bulk
Functional: GGA-PBE
Structure: relaxed

Geometry as POSCAR:
```
PrPuBiO2
1.0
-2.002 2.002 6.741
2.002 -2.002 6.741
2.002 2.002 -6.741
Pr Pu Bi O
1 1 1 2
direct
0.000 0.000 0.000
0.322 0.322 0.000
0.664 0.664 0.000
0.405 0.905 0.500
0.905 0.405 0.500
```

Results
space group: I4mm
formation energy (no corrections): -2.356 eV/atom
total DFT energy (no corrections): -44.69 eV for the cell shown
total magnetic moment: 4.57 μB/f.u.